First-principles (PBE) data for a geometry-optimized Ho3Pa structure, as listed in the Alexandria database.

abc: 4.8877 4.8877 9.8169
angles: 90.00 90.00 90.00
Closest atoms and distances in Å follow each position.
Sites, in units of the cell vectors:
Ho: 0.0000 0.0000 0.0000  4 Pa 3.46, 8 Ho 3.46
Ho: 0.0000 0.5000 0.2500  8 Ho 3.46, 4 Pa 3.46
Ho: 0.0000 0.5000 0.7500  8 Ho 3.46, 4 Pa 3.46
Ho: 0.5000 0.0000 0.2500  8 Ho 3.46, 4 Pa 3.46
Ho: 0.5000 0.0000 0.7500  8 Ho 3.46, 4 Pa 3.46
Ho: 0.5000 0.5000 0.5000  4 Pa 3.46, 8 Ho 3.46
Pa: 0.0000 0.0000 0.5000  12 Ho 3.46
Pa: 0.5000 0.5000 0.0000  12 Ho 3.46

Output
DFT formation energy in eV/atom: 0.24
Crystal system: tetragonal
Calculated total energy in eV/atom: -5.5723
D(E_F) in states/eV per cell: 16.93


First-principles (PBE) data for a geometry-optimized AlCuTcMo structure, as listed in the Alexandria database.

abc: 6.1150 6.1150 6.1150
angles: 90.00 90.00 90.00
Closest atoms and distances in Å follow each position.
Sites, in units of the cell vectors:
Al: 0.0000 0.0000 0.0000  4 Tc 2.65, 4 Cu 2.65
Al: 0.0000 0.5000 0.5000  4 Tc 2.65, 4 Cu 2.65
Al: 0.5000 0.0000 0.5000  4 Tc 2.65, 4 Cu 2.65
Al: 0.5000 0.5000 0.0000  4 Tc 2.65, 4 Cu 2.65
Cu: 0.2500 0.2500 0.7500  4 Mo 2.65, 4 Al 2.65
Cu: 0.2500 0.7500 0.2500  4 Mo 2.65, 4 Al 2.65
Cu: 0.7500 0.2500 0.2500  4 Mo 2.65, 4 Al 2.65
Cu: 0.7500 0.7500 0.7500  4 Mo 2.65, 4 Al 2.65
Tc: 0.2500 0.2500 0.2500  4 Mo 2.65, 4 Al 2.65
Tc: 0.2500 0.7500 0.7500  4 Mo 2.65, 4 Al 2.65
Tc: 0.7500 0.2500 0.7500  4 Mo 2.65, 4 Al 2.65
Tc: 0.7500 0.7500 0.2500  4 Mo 2.65, 4 Al 2.65
Mo: 0.0000 0.0000 0.5000  4 Tc 2.65, 4 Cu 2.65
Mo: 0.0000 0.5000 0.0000  4 Tc 2.65, 4 Cu 2.65
Mo: 0.5000 0.0000 0.0000  4 Tc 2.65, 4 Cu 2.65
Mo: 0.5000 0.5000 0.5000  4 Tc 2.65, 4 Cu 2.65

Output
DFT formation energy in eV/atom: -0.09
Crystal system: cubic
Calculated total energy in eV/atom: -7.3467
D(E_F) in states/eV per cell: 14.08


First-principles (PBE) data for a geometry-optimized Er2Tm3 structure, as listed in the Alexandria database.

abc: 12.1168 7.4803 14.0168
angles: 59.76 32.23 88.01
Closest atoms and distances in Å follow each position.
Sites, in units of the cell vectors:
Er: 0.2212 0.7788 0.3551  5 Tm 3.16-3.43, 2 Er 3.21
Er: 0.6051 0.8949 0.4712  5 Tm 3.16-3.43, 2 Er 3.21
Er: 0.7788 0.2212 0.6449  5 Tm 3.16-3.43, 2 Er 3.21
Er: 0.8949 0.6051 0.0288  5 Tm 3.16-3.43, 2 Er 3.21
Tm: 0.0643 0.1464 0.6353  3 Er 3.16-3.38, 1 Tm 3.53
Tm: 0.0960 0.6147 0.1036  3 Er 3.16-3.38, 1 Tm 3.53
Tm: 0.1464 0.0643 0.1540  3 Er 3.16-3.38, 1 Tm 3.53
Tm: 0.3024 0.3024 0.6976  4 Er 3.23-3.43, 4 Tm 3.53-3.55
Tm: 0.5524 0.5524 0.9476  4 Er 3.23-3.43, 4 Tm 3.53-3.55
Tm: 0.6147 0.0960 0.1857  3 Er 3.16-3.38, 1 Tm 3.53

Output
DFT formation energy in eV/atom: 0.20
Crystal system: orthorhombic
Calculated total energy in eV/atom: -4.3106
D(E_F) in states/eV per cell: 15.19


First-principles (PBE) data for a geometry-optimized Dy2Al4CuPt3 structure, as listed in the Alexandria database.

abc: 4.1361 4.1361 10.7219
angles: 90.00 90.00 90.00
Closest atoms and distances in Å follow each position.
Sites, in units of the cell vectors:
Dy: 0.0000 0.5000 0.2492  6 Pt 3.15-3.39, 8 Al 3.21-3.38, 2 Cu 3.39
Dy: 0.5000 0.0000 0.7508  6 Pt 3.15-3.39, 8 Al 3.21-3.38, 2 Cu 3.39
Al: 0.0000 0.0000 0.0000  4 Pt 2.55
Al: 0.0000 0.5000 0.6284  2 Cu 2.48, 3 Pt 2.48-2.49
Al: 0.5000 0.0000 0.3716  2 Cu 2.48, 3 Pt 2.48-2.49
Al: 0.5000 0.5000 0.0000  4 Pt 2.55
Cu: 0.0000 0.0000 0.5000  4 Al 2.48
Pt: 0.0000 0.5000 0.8609  5 Al 2.49-2.55
Pt: 0.5000 0.0000 0.1391  5 Al 2.49-2.55
Pt: 0.5000 0.5000 0.5000  4 Al 2.48

Output
DFT formation energy in eV/atom: -0.97
Crystal system: tetragonal
Calculated total energy in eV/atom: -5.6099
D(E_F) in states/eV per cell: 3.54